Entry 1:
Zn5Au3: single point on PBEsol structure, SCAN.

a b c (Å): 5.475 5.475 4.027
angles (deg): 90.00 90.00 96.47
Fractional coordinates of all 8 atoms:
1 Zn 0.000 0.000 0.000
2 Zn 0.000 0.500 0.000
3 Zn 0.262 0.262 0.500
4 Zn 0.500 0.000 0.000
5 Zn 0.738 0.738 0.500
6 Au 0.231 0.769 0.500
7 Au 0.500 0.500 0.000
8 Au 0.769 0.231 0.500

Calculated values
* formation enthalpy at 0 K: -207 meV per atom
* energy relative to the lowest polymorph listed for this composition: 27.3 meV/atom
* calculated volume: 120.0 Å³ per cell
* spin magnetization: 0.000 Bohr magnetons per cell
* space-group type: Cmmm

---

Entry 2:
ZnAu: single point on PBEsol structure, SCAN.

a b c (Å): 4.987 4.987 4.987
angles (deg): 90.00 90.00 90.00
Fractional coordinates of all 8 atoms:
1 Zn 0.096 0.096 0.096
2 Zn 0.404 0.904 0.596
3 Zn 0.596 0.404 0.904
4 Zn 0.904 0.596 0.404
5 Au 0.099 0.599 0.901
6 Au 0.401 0.401 0.401
7 Au 0.599 0.901 0.099
8 Au 0.901 0.099 0.599

Calculated values
* formation enthalpy at 0 K: -273 meV per atom
* calculated volume: 124.0 Å³ per cell
* spin magnetization: 0.000 Bohr magnetons per cell
* space-group type: P2_13

---

Entry 3:
ZnAu2: single point on PBEsol structure, SCAN.

a b c (Å): 5.109 5.109 5.109
angles (deg): 113.58 113.58 101.53
Fractional coordinates of all 6 atoms:
1 Zn 0.250 0.250 0.000
2 Zn 0.750 0.750 0.000
3 Au 0.173 0.673 0.846
4 Au 0.327 0.173 0.500
5 Au 0.673 0.827 0.500
6 Au 0.827 0.327 0.154

Calculated values
* formation enthalpy at 0 K: -155 meV per atom
* calculated volume: 101.2 Å³ per cell
* spin magnetization: 0.000 Bohr magnetons per cell
* space-group type: I4/mcm

---

Entry 4:
ZnAu2: single point on PBEsol structure, SCAN.

a b c (Å): 5.914 5.914 5.914
angles (deg): 151.36 151.36 40.95
Fractional coordinates of all 3 atoms:
1 Zn 0.000 0.000 0.000
2 Au 0.344 0.344 0.000
3 Au 0.656 0.656 0.000

Calculated values
* formation enthalpy at 0 K: -198 meV per atom
* calculated volume: 47.4 Å³ per cell
* spin magnetization: 0.000 Bohr magnetons per cell
* space-group type: I4/mmm

---

Entry 5:
ZnAu: single point on PBEsol structure, SCAN.

a b c (Å): 2.887 2.887 8.633
angles (deg): 90.00 90.00 120.00
Fractional coordinates of all 4 atoms:
1 Zn 0.333 0.667 0.384
2 Zn 0.667 0.333 0.616
3 Au 0.333 0.667 0.859
4 Au 0.667 0.333 0.141

Calculated values
* formation enthalpy at 0 K: -110 meV per atom
* calculated volume: 62.3 Å³ per cell
* spin magnetization: 0.000 Bohr magnetons per cell
* space-group type: P-3m1

---

Entry 6:
Zn17Au12: single point on PBEsol structure, SCAN.

a b c (Å): 8.439 8.439 8.439
angles (deg): 109.47 109.47 109.47
Fractional coordinates of all 29 atoms:
1 Zn 0.000 0.000 0.000
2 Zn 0.000 0.000 0.308
3 Zn 0.000 0.298 0.571
4 Zn 0.000 0.308 0.000
5 Zn 0.000 0.571 0.298
6 Zn 0.273 0.702 0.702
7 Zn 0.298 0.000 0.571
8 Zn 0.298 0.571 0.000
9 Zn 0.308 0.000 0.000
10 Zn 0.429 0.429 0.727
11 Zn 0.429 0.727 0.429
12 Zn 0.571 0.000 0.298
13 Zn 0.571 0.298 0.000
14 Zn 0.692 0.692 0.692
15 Zn 0.702 0.273 0.702
16 Zn 0.702 0.702 0.273
17 Zn 0.727 0.429 0.429
18 Au 0.000 0.596 0.797
19 Au 0.000 0.797 0.596
20 Au 0.201 0.404 0.404
21 Au 0.203 0.203 0.799
22 Au 0.203 0.799 0.203
23 Au 0.404 0.201 0.404
24 Au 0.404 0.404 0.201
25 Au 0.596 0.000 0.797
26 Au 0.596 0.797 0.000
27 Au 0.797 0.000 0.596
28 Au 0.797 0.596 0.000
29 Au 0.799 0.203 0.203

Calculated values
* formation enthalpy at 0 K: -151 meV per atom
* calculated volume: 462.7 Å³ per cell
* spin magnetization: 0.000 Bohr magnetons per cell
* space-group type: I-43m

---

Entry 7:
Zr2ZnAu: single point on PBEsol structure, SCAN.

a b c (Å): 5.079 5.079 5.079
angles (deg): 131.06 131.06 71.72
Fractional coordinates of all 4 atoms:
1 Zr 0.250 0.750 0.500
2 Zr 0.750 0.250 0.500
3 Zn 0.000 0.000 0.000
4 Au 0.500 0.500 0.000

Calculated values
* formation enthalpy at 0 K: -512 meV per atom
* calculated volume: 72.9 Å³ per cell
* spin magnetization: 0.000 Bohr magnetons per cell
* space-group type: I4/mmm

---

Entry 8:
ZrZnAu2: single point on PBEsol structure, SCAN.

a b c (Å): 4.576 4.576 4.576
angles (deg): 119.91 119.91 90.15
Fractional coordinates of all 4 atoms:
1 Zr 0.000 0.000 0.000
2 Zn 0.250 0.750 0.500
3 Au 0.500 0.500 0.000
4 Au 0.750 0.250 0.500

Calculated values
* formation enthalpy at 0 K: -530 meV per atom
* calculated volume: 67.8 Å³ per cell
* spin magnetization: 0.000 Bohr magnetons per cell
* space-group type: I-4m2

---

Entry 9:
Zr2ZnAu: single point on PBEsol structure, SCAN.

a b c (Å): 3.181 3.993 5.777
angles (deg): 90.00 90.00 90.00
Fractional coordinates of all 4 atoms:
1 Zr 0.000 0.000 0.247
2 Zr 0.000 0.000 0.753
3 Zn 0.500 0.500 0.000
4 Au 0.500 0.500 0.500

Calculated values
* formation enthalpy at 0 K: -524 meV per atom
* calculated volume: 73.4 Å³ per cell
* spin magnetization: 0.000 Bohr magnetons per cell
* space-group type: Pmmm

---

Entry 10:
Zr2ZnAu: single point on PBEsol structure, SCAN.

a b c (Å): 3.001 4.804 5.092
angles (deg): 90.00 90.00 90.00
Fractional coordinates of all 4 atoms:
1 Zr 0.000 0.000 0.000
2 Zr 0.000 0.500 0.390
3 Zn 0.500 0.500 0.887
4 Au 0.500 0.000 0.529

Calculated values
* formation enthalpy at 0 K: -496 meV per atom
* calculated volume: 73.4 Å³ per cell
* spin magnetization: 0.000 Bohr magnetons per cell
* space-group type: Pmm2

---

Entry 11:
Zr2ZnAu: single point on PBEsol structure, SCAN.

a b c (Å): 3.070 3.070 7.803
angles (deg): 90.00 90.00 90.00
Fractional coordinates of all 4 atoms:
1 Zr 0.000 0.000 0.242
2 Zr 0.000 0.000 0.758
3 Zn 0.500 0.500 0.000
4 Au 0.500 0.500 0.500

Calculated values
* formation enthalpy at 0 K: -510 meV per atom
* calculated volume: 73.5 Å³ per cell
* spin magnetization: 0.000 Bohr magnetons per cell
* space-group type: P4/mmm

---

Entry 12:
Zr2ZnAu: single point on PBEsol structure, SCAN.

a b c (Å): 5.644 5.644 5.644
angles (deg): 146.04 131.35 60.66
Fractional coordinates of all 4 atoms:
1 Zr 0.000 0.000 0.000
2 Zr 0.736 0.236 0.500
3 Zn 0.470 0.470 0.000
4 Au 0.257 0.757 0.500

Calculated values
* formation enthalpy at 0 K: -467 meV per atom
* calculated volume: 74.7 Å³ per cell
* spin magnetization: 0.000 Bohr magnetons per cell
* space-group type: Imm2

---

- Number 2 is which compound?
  ZnAu

---

Copy entry 1 word for word.
Zn5Au3: single point on PBEsol structure, SCAN.

a b c (Å): 5.475 5.475 4.027
angles (deg): 90.00 90.00 96.47
Fractional coordinates of all 8 atoms:
1 Zn 0.000 0.000 0.000
2 Zn 0.000 0.500 0.000
3 Zn 0.262 0.262 0.500
4 Zn 0.500 0.000 0.000
5 Zn 0.738 0.738 0.500
6 Au 0.231 0.769 0.500
7 Au 0.500 0.500 0.000
8 Au 0.769 0.231 0.500

Calculated values
* formation enthalpy at 0 K: -207 meV per atom
* energy relative to the lowest polymorph listed for this composition: 27.3 meV/atom
* calculated volume: 120.0 Å³ per cell
* spin magnetization: 0.000 Bohr magnetons per cell
* space-group type: Cmmm

---

- What is the formula in the fifth record?
  ZnAu